This record from Alexandria via LeMat-Bulk describes crystalline MnZnBr2 at its relaxed geometry. The functional is PBE-GGA.

The size of the total moment is 4.443 μB per cell. The uncorrected formation energy comes out at 0.10 eV/atom. The electronic total energy comes out at -13.4 eV per cell. As for the distance to the lowest polymorph of the same formula: 172 kJ/mol of formula units.

The structure belongs to space group Pmmm (No. 47); the cell edges are 3.757, 4.015 and 6.461 Å and the angles 90.00°, 90.00° and 90.00°. Symmetry generates all atoms from Mn at (0.000, 0.000, 0.000), Zn at (0.500, 0.000, 0.500), Br at (0.000, 0.500, 0.500) and Br at (0.500, 0.500, 0.000).